Record 1
First-principles (GGA-PBEsol) data for a geometry-optimized Be2CrCo structure, as listed in Alexandria via LeMat-Bulk.

```
Be2CrCo
1.0
2.385 -3.443 0.000
2.385 3.443 0.000
0.000 0.000 2.307
Be Cr Co
2 1 1
Cartesian
1.192 1.721 0.000 Be
1.192 -1.721 0.000 Be
0.000 0.000 1.153 Cr
2.385 0.000 1.153 Co
```

Results
- density of states at the Fermi level (states/eV/f.u.) = 3.280
- formation energy (kJ/mol of formula units) = 21.0
- distance to the lowest polymorph of the same formula (meV per atom) = 102


Record 2
First-principles (GGA-PBEsol) data for a geometry-optimized Be2CrCo structure, as listed in Alexandria via LeMat-Bulk.

```
Be2CrCo
1.0
0.000 2.640 2.640
2.640 0.000 2.640
2.640 2.640 0.000
Be Cr Co
2 1 1
Cartesian
1.320 1.320 1.320 Be
3.960 3.960 3.960 Be
0.000 0.000 0.000 Cr
2.640 2.640 2.640 Co
```

Results
- density of states at the Fermi level (states/eV/f.u.) = 4.339
- formation energy (kJ/mol of formula units) = -18.3
- distance to the lowest polymorph of the same formula (meV per atom) = 0


Record 3
First-principles (GGA-PBEsol) data for a geometry-optimized BeCr2Co structure, as listed in Alexandria via LeMat-Bulk.

```
BeCr2Co
1.0
2.931 0.000 0.000
0.000 2.931 0.000
0.000 0.000 4.751
Be Cr Co
1 2 1
Cartesian
0.000 0.000 0.000 Be
1.466 1.466 1.025 Cr
1.466 1.466 3.726 Cr
0.000 0.000 2.375 Co
```

Results
- density of states at the Fermi level (states/eV/f.u.) = 4.340
- formation energy (kJ/mol of formula units) = 55.1


Record 4
First-principles (GGA-PBEsol) data for a geometry-optimized BeCr4Co structure, as listed in Alexandria via LeMat-Bulk.

```
BeCr4Co
1.0
0.000 3.218 3.218
3.218 0.000 3.218
3.218 3.218 0.000
Be Cr Co
1 4 1
Cartesian
0.000 0.000 0.000 Be
2.404 2.404 2.404 Cr
4.033 4.033 2.404 Cr
4.033 2.404 4.033 Cr
2.404 4.033 4.033 Cr
4.827 4.827 4.827 Co
```

Results
- density of states at the Fermi level (states/eV/f.u.) = 6.050
- formation energy (kJ/mol of formula units) = 213.7


Record 5
First-principles (GGA-PBEsol) data for a geometry-optimized BeCrCo2 structure, as listed in Alexandria via LeMat-Bulk.

```
BeCrCo2
1.0
2.491 0.000 0.000
0.000 3.110 0.000
0.000 0.000 4.971
Be Cr Co
1 1 2
Cartesian
0.000 0.000 0.000 Be
0.000 0.000 2.485 Cr
1.245 1.555 1.188 Co
1.245 1.555 3.783 Co
```

Results
- density of states at the Fermi level (states/eV/f.u.) = 3.185
- formation energy (kJ/mol of formula units) = -35.7


Record 6
First-principles (GGA-PBEsol) data for a geometry-optimized BeCrCo2 structure, as listed in Alexandria via LeMat-Bulk.

```
BeCrCo2
1.0
-1.280 1.970 3.764
1.280 -1.970 3.764
1.280 1.970 -3.764
Be Cr Co
1 1 2
Cartesian
0.000 0.000 0.000 Be
0.000 0.000 3.764 Cr
1.280 0.000 1.745 Co
0.000 1.970 2.020 Co
```

Results
- density of states at the Fermi level (states/eV/f.u.) = 4.168
- formation energy (kJ/mol of formula units) = -8.4


Record 7
First-principles (GGA-PBEsol) data for a geometry-optimized BeCrCo2 structure, as listed in Alexandria via LeMat-Bulk.

```
BeCrCo2
1.0
2.520 0.000 0.000
0.000 2.520 0.000
0.000 0.000 5.915
Be Cr Co
1 1 2
Cartesian
0.000 0.000 0.000 Be
0.000 0.000 2.957 Cr
1.260 1.260 1.332 Co
1.260 1.260 4.583 Co
```

Results
- density of states at the Fermi level (states/eV/f.u.) = 3.441
- formation energy (kJ/mol of formula units) = -71.9


Record 8
First-principles (GGA-PBEsol) data for a geometry-optimized BeCrCo2 structure, as listed in Alexandria via LeMat-Bulk.

```
BeCrCo2
1.0
-1.748 1.748 3.154
1.748 -1.748 3.154
1.748 1.748 -3.154
Be Cr Co
1 1 2
Cartesian
0.000 0.000 0.000 Be
0.000 0.000 3.154 Cr
1.748 0.000 1.577 Co
0.000 1.748 1.577 Co
```

Results
- density of states at the Fermi level (states/eV/f.u.) = 3.257
- formation energy (kJ/mol of formula units) = -38.3


Record 9
First-principles (GGA-PBEsol) data for a geometry-optimized BeCrCo2 structure, as listed in Alexandria via LeMat-Bulk.

```
BeCrCo2
1.0
-2.930 2.930 2.416
2.930 -2.930 2.416
2.930 2.930 -2.416
Be Cr Co
2 2 4
Cartesian
0.000 0.000 0.000 Be
0.000 2.930 1.208 Be
2.930 0.000 1.208 Cr
0.000 0.000 2.416 Cr
4.396 1.356 -0.604 Co
1.356 1.465 0.604 Co
-1.465 1.574 1.812 Co
1.574 1.465 3.020 Co
```

Results
- density of states at the Fermi level (states/eV/f.u.) = 4.915
- formation energy (kJ/mol of formula units) = 195.9


Record 10
First-principles (GGA-PBEsol) data for a geometry-optimized BeCrCo6 structure, as listed in Alexandria via LeMat-Bulk.

```
BeCrCo6
1.0
3.388 -4.799 0.000
3.388 4.799 0.000
0.000 0.000 9.593
Be Cr Co
4 4 24
Cartesian
0.000 0.000 2.388 Be
0.000 0.000 7.205 Be
3.388 2.321 0.000 Be
3.388 -2.321 0.000 Be
3.388 2.361 4.796 Cr
3.388 0.000 2.333 Cr
3.388 0.000 7.260 Cr
3.388 -2.361 4.796 Cr
0.000 0.000 0.000 Co
0.000 0.000 4.796 Co
1.666 1.204 1.192 Co
1.666 1.204 8.401 Co
1.680 1.198 3.596 Co
1.680 1.198 5.996 Co
3.388 2.396 2.387 Co
3.388 2.396 7.206 Co
1.666 -1.204 1.192 Co
1.666 -1.204 8.401 Co
1.680 -1.198 3.596 Co
1.680 -1.198 5.996 Co
3.388 0.000 0.000 Co
3.388 0.000 4.796 Co
5.096 1.198 3.596 Co
5.096 1.198 5.996 Co
5.110 1.204 1.192 Co
5.110 1.204 8.401 Co
3.388 -2.396 2.387 Co
3.388 -2.396 7.206 Co
5.096 -1.198 3.596 Co
5.096 -1.198 5.996 Co
5.110 -1.204 1.192 Co
5.110 -1.204 8.401 Co
```

Results
- density of states at the Fermi level (states/eV/f.u.) = 9.996
- formation energy (kJ/mol of formula units) = -16.4


Record 11
First-principles (GGA-PBEsol) data for a geometry-optimized BeCr2Co structure, as listed in Alexandria via LeMat-Bulk.

```
BeCr2Co
1.0
1.215 0.701 8.021
-1.215 0.701 8.021
0.000 -1.403 8.021
Be Cr Co
1 2 1
Cartesian
0.000 0.000 0.000 Be
0.000 0.000 6.020 Cr
0.000 0.000 18.044 Cr
0.000 0.000 12.032 Co
```

Results
- density of states at the Fermi level (states/eV/f.u.) = 4.609
- formation energy (kJ/mol of formula units) = 71.0


Record 12
First-principles (GGA-PBEsol) data for a geometry-optimized Be2CrCo structure, as listed in Alexandria via LeMat-Bulk.

```
Be2CrCo
1.0
1.204 0.695 7.508
-1.204 0.695 7.508
0.000 -1.390 7.508
Be Cr Co
2 1 1
Cartesian
0.000 0.000 5.522 Be
0.000 0.000 17.001 Be
0.000 0.000 0.000 Cr
0.000 0.000 11.262 Co
```

Results
- density of states at the Fermi level (states/eV/f.u.) = 2.956
- formation energy (kJ/mol of formula units) = 32.3
- distance to the lowest polymorph of the same formula (meV per atom) = 131